## TmPaCoOs (PBE-GGA)

Data for crystalline TmPaCoOs at its relaxed geometry.

Cell: 4.771 4.771 4.771 Å, 60.00 60.00 60.00°
Element x y z (fractional)
Pa 0.750 0.750 0.750
Os 0.500 0.500 0.500
Co 0.000 0.000 0.000
Tm 0.250 0.250 0.250

Density ... 14.0 Mg/m³
Formation enthalpy at 0 K ... -235 meV per atom
Space-group type ... No. 216



## YPaCoOs (PBE-GGA)

Data for crystalline YPaCoOs at its relaxed geometry.

Cell: 4.803 4.803 4.803 Å, 60.00 60.00 60.00°
Element x y z (fractional)
Y 0.750 0.750 0.750
Pa 0.250 0.250 0.250
Os 0.000 0.000 0.000
Co 0.500 0.500 0.500

Density ... 12.1 Mg/m³
Formation enthalpy at 0 K ... -160 meV per atom
Space-group type ... No. 216



## PaZnCoOs (PBE-GGA)

Data for crystalline PaZnCoOs at its relaxed geometry.

Cell: 4.550 4.550 4.550 Å, 60.00 60.00 60.00°
Element x y z (fractional)
Zn 0.250 0.250 0.250
Os 0.000 0.000 0.000
Pa 0.750 0.750 0.750
Co 0.500 0.500 0.500

Density ... 13.6 Mg/m³
Formation enthalpy at 0 K ... -95 meV per atom
Space-group type ... No. 216



## CoOs2Pb (PBE-GGA)

Data for crystalline CoOs2Pb at its relaxed geometry.

Cell: 5.841 5.841 5.841 Å, 152.26 135.94 52.86°
Last column: magnetic moment on the atom in μB.
Element x y z (fractional)
Pb 0.750 0.250 0.500  0.01
Co 0.250 0.750 0.500  0.52
Os 0.462 0.462 0.000  0.02
Os 0.038 0.038 0.000  0.02

Density ... 16.7 Mg/m³
Formation enthalpy at 0 K ... 755 meV per atom
Space-group type ... No. 71



- Among the records above, which one has the highest density?
  CoOs2Pb



- formation enthalpy at 0 K of number 3 (PaZnCoOs)?
  -95 meV per atom